Record 1
## La2Pm5Y2 (PBE)

Data for a relaxed La2Pm5Y2 crystal.

POSCAR file:
```
La2Pm5Y2
1.0
12.104 0.000 0.000
0.000 6.868 0.000
-6.052 -3.434 7.550
La Pm Y
4 10 4
Direct
0.000 0.022 0.000
0.500 0.522 0.000
0.254 0.338 0.500
0.746 0.838 0.500
0.202 0.655 0.893
0.798 0.762 0.107
0.191 0.155 0.893
0.809 0.262 0.107
0.374 0.037 0.285
0.626 0.751 0.715
0.411 0.537 0.285
0.589 0.251 0.715
0.014 0.656 0.500
0.986 0.156 0.500
0.128 0.682 0.250
0.872 0.432 0.750
0.623 0.182 0.250
0.377 0.932 0.750
```

Computed properties:
The calculation puts the energy above the most stable polymorph in this dataset at 143 meV/atom. The calculation puts the energy of formation at 184 meV per atom.

=====

Record 2
## ThZnSn2 (PBE)

Data for a relaxed ThZnSn2 crystal.

POSCAR file:
```
ThZnSn2
1.0
-1.606 1.898 -3.995
-4.317 -0.367 1.561
0.317 4.198 1.866
Zn Sn Th
1 2 1
Direct
0.500 0.000 0.000
0.000 0.000 0.500
0.000 0.500 0.000
0.500 0.500 0.500
```

Computed properties:
The calculation puts the energy of formation at -387 meV per atom.

=====

Record 3
## BeAsCCl (PBE)

Data for a relaxed BeAsCCl crystal.

POSCAR file:
```
BeAsCCl
1.0
3.172 0.000 0.000
-1.586 2.747 0.000
0.000 0.000 21.225
Be As C Cl
3 3 3 3
Direct
0.000 0.000 0.253
0.333 0.667 0.920
0.667 0.333 0.586
0.000 0.000 0.147
0.333 0.667 0.814
0.667 0.333 0.481
0.000 0.000 0.778
0.333 0.667 0.445
0.667 0.333 0.112
0.000 0.000 0.968
0.333 0.667 0.635
0.667 0.333 0.301
```

Computed properties:
For the raw formation energy, the calculation gives 0.2716 eV/atom. The calculation puts the energy above the most stable polymorph in this dataset at 381 meV/atom.

=====

Record 4
## MnPb3Br2Cl6 (PBE)

Data for a relaxed MnPb3Br2Cl6 crystal.

POSCAR file:
```
MnPb3Br2Cl6
1.0
6.425 0.000 0.533
0.000 8.206 0.000
-0.210 -4.103 7.229
Mn Pb Br Cl
1 3 2 6
Direct
0.500 0.000 0.000
0.000 0.500 0.000
0.500 0.500 0.500
0.500 0.000 0.500
0.192 0.686 0.373
0.808 0.314 0.627
0.724 0.301 0.138
0.276 0.699 0.862
0.716 0.851 0.703
0.284 0.149 0.297
0.276 0.163 0.862
0.724 0.837 0.138
```

Computed properties:
For the raw formation energy, the calculation gives -1.0464 eV/atom.

=====

Record 5
## KMg2Tc (PBE)

Data for a relaxed KMg2Tc crystal.

POSCAR file:
```
KMg2Tc
1.0
-0.253 2.068 -2.004
1.448 -2.144 -1.288
-9.426 -4.371 -3.321
K Mg Tc
1 2 1
Direct
0.500 0.500 0.725
0.000 0.000 0.032
0.500 0.500 0.275
0.000 0.000 0.468
```

Computed properties:
The calculation puts the energy above the most stable polymorph in this dataset at 171 meV/atom. The calculation puts the energy of formation at 628 meV per atom.

=====

Record 6
## Sm4Ho3In (PBE)

Data for a relaxed Sm4Ho3In crystal.

POSCAR file:
```
Sm4Ho3In
1.0
-4.361 -10.269 -1.803
2.418 3.922 6.999
-6.525 2.634 0.778
Ho Sm In
6 8 2
Direct
0.852 0.843 0.000
0.025 0.662 0.247
0.613 0.334 0.242
0.277 0.151 0.500
0.613 0.334 0.758
0.025 0.662 0.753
0.373 0.861 0.000
0.267 0.171 0.000
0.102 0.336 0.253
0.518 0.667 0.259
0.861 0.821 0.500
0.755 0.142 0.500
0.518 0.667 0.741
0.102 0.336 0.747
0.773 0.173 0.000
0.358 0.838 0.500
```

Computed properties:
The calculation puts the energy above the most stable polymorph in this dataset at 0 meV/atom. The calculation puts the energy of formation at -108 meV per atom.

=====

Record 7
## MgTa2Ag (PBE)

Data for a relaxed MgTa2Ag crystal.

POSCAR file:
```
MgTa2Ag
1.0
-0.870 -4.651 -0.874
-0.551 -0.610 3.796
-3.780 0.786 -0.422
Ag Mg Ta
1 1 2
Direct
0.500 0.500 0.000
0.500 0.000 0.500
0.000 0.000 0.000
0.000 0.500 0.500
```

Computed properties:
The calculation puts the energy of formation at 305 meV per atom.

=====

Record 8
## BaVTeI2 (PBE)

Data for a relaxed BaVTeI2 crystal.

POSCAR file:
```
BaVTeI2
1.0
6.548 0.000 0.000
0.000 6.548 0.000
0.000 0.000 6.801
I Te Ba V
2 1 1 1
Direct
0.000 0.500 0.000
0.500 0.000 0.000
0.000 0.000 0.500
0.000 0.000 0.000
0.500 0.500 0.500
```

Computed properties:
For the raw formation energy, the calculation gives 0.1767 eV/atom. The calculation puts the energy above the most stable polymorph in this dataset at 984 meV/atom.